28
Lattice="-0.673 -4.789 3.925 4.573 0.462 1.349 -2.763 6.643 7.633" Properties=species:S:1:pos:R:3 comment="Li4Mn3CrP4O16 (PBE with a Hubbard U, optimized geometry)" sg="Pm, No. 6" e_tot_ev_per_atom=-7.169 pbc="T T T"
O -1.235 4.272 7.955
O 2.033 0.648 6.082
O 1.588 3.808 6.873
O 2.336 -2.425 5.354
O 1.181 0.912 9.246
O 0.657 6.673 8.256
O 2.348 3.384 4.532
O -0.139 0.930 4.090
O -0.585 4.051 4.844
O 0.990 0.770 1.110
O -0.967 1.347 6.421
O -1.506 2.344 9.535
O 2.741 0.453 2.996
O -0.406 -0.973 5.650
O 0.905 -1.962 2.703
O 0.550 3.891 9.786
P 2.473 0.888 1.509
P 2.527 4.349 5.741
P -1.090 0.370 5.207
P -0.953 3.804 9.421
Cr 2.031 2.801 8.710
Mn -0.007 5.415 6.607
Mn 1.478 -0.692 4.351
Mn -0.634 1.882 2.187
Li 0.702 2.381 5.471
Li 0.362 -0.040 7.454
Li -2.884 5.450 8.602
Li -3.224 3.031 10.584